A plane-wave DFT calculation with PBE-GGA was carried out for TbNdI after structural relaxation.

Properties
formation energy without anion corrections	-0.539	eV per atom
space group	No. 63
calculated volume	33.083	A^3/atom
total magnetization	0.000	μB/atom
excess energy over the best structure of this formula in the dataset	0	meV per atom

a b c (Å): 6.047 7.734 8.705
angles (deg): 102.83 90.00 90.00
Fractional coordinates of all 12 atoms:
I 0.250 0.898 0.093
I 0.250 0.398 0.093
I 0.750 0.602 0.907
I 0.750 0.102 0.907
Tb 0.250 0.567 0.770
Tb 0.250 0.067 0.770
Tb 0.750 0.933 0.230
Tb 0.750 0.433 0.230
Nd 0.750 0.271 0.583
Nd 0.250 0.729 0.417
Nd 0.750 0.771 0.583
Nd 0.250 0.229 0.417